# La2Al3TlZn4 | Alexandria via LeMat-Bulk | PBE | relaxed
# ΔE_f ... -35 kJ/mol of atoms
data_La2Al3TlZn4
_chemical_formula_sum 'La2 Al3 Tl1 Zn4'
_cell_length_a 4.397
_cell_length_b 4.397
_cell_length_c 10.952
_cell_angle_alpha 90.00
_cell_angle_beta 90.00
_cell_angle_gamma 90.00
_symmetry_space_group_name_H-M 'P -4 m 2'
_symmetry_Int_Tables_number 115
loop_
_symmetry_equiv_pos_as_xyz
'x,y,z'
'y,-x,-z'
'-x,-y,z'
'-y,x,-z'
'-x,y,z'
'-y,-x,-z'
'x,-y,z'
'y,x,-z'
loop_
_atom_site_label
_atom_site_type_symbol
_atom_site_fract_x
_atom_site_fract_y
_atom_site_fract_z
La1 La 0.000 0.500 0.237
Al1 Al 0.000 0.500 0.875
Al2 Al 0.500 0.500 0.500
Tl1 Tl 0.000 0.000 0.500
Zn1 Zn 0.000 0.000 0.000
Zn2 Zn 0.000 0.500 0.649
Zn3 Zn 0.500 0.500 0.000

# PmI | Alexandria via LeMat-Bulk | PBE | relaxed
# E above lowest polymorph ... 0 kJ/mol of formula units
# ΔE_f (raw) ... -898 meV/atom
data_PmI
_chemical_formula_sum 'Pm6 I6'
_cell_length_a 4.0767
_cell_length_b 4.0767
_cell_length_c 33.9002
_cell_angle_alpha 90.00
_cell_angle_beta 90.00
_cell_angle_gamma 120.00
_symmetry_space_group_name_H-M 'R -3 m'
_symmetry_Int_Tables_number 166
_symmetry_space_group_name_Hall '-R 3 2"'
loop_
_atom_site_label
_atom_site_type_symbol
_atom_site_fract_x
_atom_site_fract_y
_atom_site_fract_z
Pm1 Pm 0.0000 0.0000 0.1245
I1 I 0.0000 0.0000 0.3944

# Y2Ge5Pd3 | Alexandria via LeMat-Bulk | PBE | relaxed
# E above lowest polymorph ... 0 kJ/mol of formula units
# ΔE_f ... -67 kJ/mol of atoms
data_Y2Ge5Pd3
_chemical_formula_sum 'Y8 Ge20 Pd12'
_cell_length_a 10.311
_cell_length_b 11.925
_cell_length_c 6.159
_cell_angle_alpha 90.00
_cell_angle_beta 90.00
_cell_angle_gamma 90.00
_symmetry_space_group_name_H-M 'I b a m'
_symmetry_Int_Tables_number 72
_symmetry_space_group_name_Hall '-I 2 2c'
loop_
_atom_site_label
_atom_site_type_symbol
_atom_site_fract_x
_atom_site_fract_y
_atom_site_fract_z
Y1 Y 0.228 0.131 0.000
Ge1 Ge 0.000 0.000 0.250
Ge2 Ge 0.000 0.276 0.250
Ge3 Ge 0.158 0.395 0.000
Pd1 Pd 0.000 0.500 0.250
Pd2 Pd 0.112 0.142 0.500

# Ba2CdHRh | Alexandria via LeMat-Bulk | PBE | relaxed
# E above lowest polymorph ... 0 kJ/mol of formula units
data_Ba2CdHRh
_chemical_formula_sum 'Ba4 Cd2 H2 Rh2'
_cell_length_a 7.094
_cell_length_b 4.513
_cell_length_c 9.527
_cell_angle_alpha 90.00
_cell_angle_beta 107.88
_cell_angle_gamma 90.00
_symmetry_space_group_name_H-M 'P 1 21/m 1'
_symmetry_Int_Tables_number 11
loop_
_symmetry_equiv_pos_as_xyz
'x,y,z'
'-x,-y,-z'
'-x,y+1/2,-z'
'x,-y+1/2,z'
loop_
_atom_site_label
_atom_site_type_symbol
_atom_site_fract_x
_atom_site_fract_y
_atom_site_fract_z
Ba1 Ba 0.229 0.250 0.396
Ba2 Ba 0.244 0.250 0.970
Cd1 Cd 0.333 0.750 0.706
H1 H 0.176 0.750 0.156
Rh1 Rh 0.426 0.750 0.232

# LaHf2Ga2 | Alexandria via LeMat-Bulk | PBE | relaxed
# E above lowest polymorph ... 32 kJ/mol of formula units
# ΔE_f ... -30 kJ/mol of atoms
data_LaHf2Ga2
_chemical_formula_sum 'La2 Hf4 Ga4'
_cell_length_a 8.115
_cell_length_b 8.115
_cell_length_c 3.294
_cell_angle_alpha 90.00
_cell_angle_beta 90.00
_cell_angle_gamma 90.00
_symmetry_space_group_name_H-M 'P 4/m b m'
_symmetry_Int_Tables_number 127
_symmetry_space_group_name_Hall '-P 4 2ab'
loop_
_atom_site_label
_atom_site_type_symbol
_atom_site_fract_x
_atom_site_fract_y
_atom_site_fract_z
La1 La 0.000 0.000 0.000
Hf1 Hf 0.174 0.326 0.500
Ga1 Ga 0.120 0.620 0.000

# LiCe2Cd5 | Alexandria via LeMat-Bulk | PBE | relaxed
# ΔE_f ... -18 kJ/mol of atoms
data_LiCe2Cd5
_chemical_formula_sum 'Li2 Ce4 Cd10'
_cell_length_a 4.526
_cell_length_b 4.526
_cell_length_c 17.782
_cell_angle_alpha 90.00
_cell_angle_beta 90.00
_cell_angle_gamma 90.00
_symmetry_space_group_name_H-M 'I 4/m m m'
_symmetry_Int_Tables_number 139
_symmetry_space_group_name_Hall '-I 4 2'
loop_
_atom_site_label
_atom_site_type_symbol
_atom_site_fract_x
_atom_site_fract_y
_atom_site_fract_z
Li1 Li 0.000 0.000 0.000
Ce1 Ce 0.000 0.000 0.252
Cd1 Cd 0.000 0.000 0.500
Cd2 Cd 0.000 0.500 0.111

| no. | raw total energy (eV/f.u.) |
| --- | --- |
| 1 | -32.20 |
| 2 | -8.10 |
| 3 | -58.53 |
| 4 | -17.17 |
| 5 | -32.43 |
| 6 | -19.82 |